(1)
SrTa2Ni | Alexandria | GGA-PBE | relaxed; symmetry = R-3m (166); ΔH_f (0 K) = 70.8 kJ per mole of atoms; energy above the most stable polymorph in this dataset = 1.60 eV per formula unit; V = 80 Å³/f.u.
1.0
10.050 -0.016 -0.010
9.589 3.006 -0.010
9.589 1.460 2.628
Ni Sr Ta
1 1 2
direct
0.250 0.250 0.250
0.750 0.750 0.750
0.517 0.517 0.517
0.983 0.983 0.983

---

(2)
Sr2TaNi | Alexandria | GGA-PBE | relaxed; symmetry = Immm (71); ΔH_f (0 K) = 42.3 kJ per mole of atoms; energy above the most stable polymorph in this dataset = 0.35 eV per formula unit; V = 118 Å³/f.u.
1.0
9.545 0.001 -0.004
8.189 4.904 0.004
-8.787 -2.742 2.526
Sr Ta Ni
2 1 1
direct
0.100 0.100 0.000
0.400 0.400 0.000
0.750 0.250 0.500
0.250 0.750 0.500

---

(3)
Sr2TaNi | Alexandria | GGA-PBE | relaxed; symmetry = R-3m (166); ΔH_f (0 K) = 88.1 kJ per mole of atoms; energy above the most stable polymorph in this dataset = 2.25 eV per formula unit; V = 100 Å³/f.u.
1.0
10.257 0.008 0.005
9.693 3.354 0.005
9.693 1.633 2.929
Ta Ni Sr
1 1 2
direct
0.250 0.250 0.250
0.750 0.750 0.750
0.490 0.490 0.490
0.010 0.010 0.010

---

(4)
SrTaNi3 | Alexandria | GGA-PBE | relaxed; symmetry = Pm-3m (221); ΔH_f (0 K) = 189.2 kJ per mole of atoms; energy above the most stable polymorph in this dataset = 7.09 eV per formula unit; V = 96 Å³/f.u.
1.0
-2.580 3.570 -1.277
-0.801 -2.024 -4.037
-3.706 -2.048 1.762
Ni Ta Sr
3 1 1
direct
0.000 0.000 0.500
0.500 0.000 0.000
0.000 0.500 0.000
0.500 0.500 0.500
0.000 0.000 0.000

---

(5)
Sr2TaNi | Alexandria | GGA-PBE | relaxed; symmetry = Pmmm (47); ΔH_f (0 K) = 76.6 kJ per mole of atoms; energy above the most stable polymorph in this dataset = 1.78 eV per formula unit; V = 101 Å³/f.u.
1.0
-1.766 -2.387 1.385
1.323 0.719 2.928
-5.602 6.792 4.565
Ni Sr Ta
1 2 1
direct
0.500 0.750 0.750
0.000 0.463 0.537
0.000 0.037 0.963
0.500 0.250 0.250

---

(6)
Sr2TaNi | Alexandria | GGA-PBE | relaxed; symmetry = P4mm (99); ΔH_f (0 K) = 33.7 kJ per mole of atoms; energy above the most stable polymorph in this dataset = 0.00 eV per formula unit; V = 112 Å³/f.u.
1.0
-2.281 2.570 -0.004
-2.102 -1.868 -1.975
-4.098 -3.625 7.793
Sr Ta Ni
2 1 1
direct
0.000 0.000 0.927
0.500 0.500 0.310
0.000 0.000 0.591
0.500 0.500 0.672